Density functional theory data (PBE) for a geometry-optimized PuPdPtAu structure.

Computed properties:
As for the energy relative to the elements: -381 meV per atom. The energy above the most stable polymorph in this dataset is 140.0 meV per atom.

abc: 6.769 6.769 6.769
angles: 90.00 90.00 90.00
Space group F-43m (No. 216)
One atom of each set of equivalent atoms:
Pu 0.000 0.000 0.000 [4 per cell]
Pd 0.000 0.000 0.500 [4 per cell]
Pt 0.250 0.250 0.750 [4 per cell]
Au 0.250 0.250 0.250 [4 per cell]



Density functional theory data (PBE) for a geometry-optimized Pu4PdPt2Au structure.

Computed properties:
As for the energy relative to the elements: -567 meV per atom.

abc: 5.0149 5.0149 24.4894
angles: 90.00 90.00 120.00
Space group R-3m (No. 166, hexagonal axes)
One atom of each set of equivalent atoms:
Pu 0.0000 0.0000 0.1227 [6 per cell]
Pu 0.0000 0.0000 0.3728 [6 per cell]
Pd 0.0000 0.0000 0.0000 [3 per cell]
Pt 0.0000 0.0000 0.2508 [6 per cell]
Au 0.0000 0.0000 0.5000 [3 per cell]



Density functional theory data (PBE) for a geometry-optimized RbPdPtAu2 structure.

Computed properties:
As for the energy relative to the elements: 408 meV per atom.

abc: 5.213 5.213 4.984
angles: 90.00 90.00 90.00
Space group P4/mmm (No. 123)
One atom of each set of equivalent atoms:
Rb 0.000 0.000 0.000 [1 per cell]
Pd 0.500 0.500 0.500 [1 per cell]
Pt 0.500 0.500 0.000 [1 per cell]
Au 0.000 0.500 0.500 [2 per cell]



Density functional theory data (PBE) for a geometry-optimized Sc4PdPt2Au structure.

Computed properties:
As for the energy relative to the elements: -1056 meV per atom.

abc: 4.6971 4.6971 23.1373
angles: 90.00 90.00 120.00
Space group R-3m (No. 166, hexagonal axes)
One atom of each set of equivalent atoms:
Sc 0.0000 0.0000 0.1233 [6 per cell]
Sc 0.0000 0.0000 0.3740 [6 per cell]
Pd 0.0000 0.0000 0.0000 [3 per cell]
Pt 0.0000 0.0000 0.2528 [6 per cell]
Au 0.0000 0.0000 0.5000 [3 per cell]



Density functional theory data (PBE) for a geometry-optimized ScPdPtAu structure.

Computed properties:
As for the energy relative to the elements: -843 meV per atom.

abc: 4.125 4.125 7.944
angles: 90.00 90.00 90.00
Space group I-4m2 (No. 119)
One atom of each set of equivalent atoms:
Sc 0.000 0.000 0.000 [2 per cell]
Pd 0.000 0.500 0.250 [2 per cell]
Pt 0.000 0.500 0.750 [2 per cell]
Au 0.000 0.000 0.500 [2 per cell]



Density functional theory data (PBE) for a geometry-optimized SrPdPtAu3 structure.

Computed properties:
As for the energy relative to the elements: -265 meV per atom.

abc: 6.935 13.126 5.784
angles: 90.00 90.00 90.00
Space group Cmcm (No. 63)
One atom of each set of equivalent atoms:
Sr 0.000 0.209 0.250 [4 per cell]
Pd 0.000 0.429 0.250 [4 per cell]
Pt 0.000 0.153 0.750 [4 per cell]
Au 0.000 0.356 0.750 [4 per cell]
Au 0.199 0.000 0.000 [8 per cell]



Density functional theory data (PBE) for a geometry-optimized Sr2PdPt2Au5 structure.

Computed properties:
As for the energy relative to the elements: -463 meV per atom.

abc: 10.105 10.105 4.102
angles: 90.00 90.00 90.00
Space group P4/mbm (No. 127)
One atom of each set of equivalent atoms:
Sr 0.174 0.326 0.000 [4 per cell]
Pd 0.000 0.000 0.000 [2 per cell]
Pt 0.126 0.626 0.000 [4 per cell]
Au 0.000 0.500 0.500 [2 per cell]
Au 0.059 0.805 0.500 [8 per cell]



Density functional theory data (PBE) for a geometry-optimized Ta2PdPtAu structure.

Computed properties:
As for the energy relative to the elements: 1545 meV per atom.

abc: 4.865 4.865 4.807
angles: 90.00 90.00 90.00
Space group P4/mmm (No. 123)
One atom of each set of equivalent atoms:
Ta 0.000 0.500 0.000 [2 per cell]
Pd 0.000 0.000 0.500 [1 per cell]
Pt 0.500 0.500 0.500 [1 per cell]
Au 0.000 0.000 0.000 [1 per cell]



Density functional theory data (PBE) for a geometry-optimized TaPdPtAu structure.

Computed properties:
As for the energy relative to the elements: -294 meV per atom.

abc: 6.427 6.427 6.427
angles: 90.00 90.00 90.00
Space group F-43m (No. 216)
One atom of each set of equivalent atoms:
Ta 0.000 0.000 0.000 [4 per cell]
Pd 0.250 0.250 0.250 [4 per cell]
Pt 0.250 0.250 0.750 [4 per cell]
Au 0.000 0.000 0.500 [4 per cell]



Density functional theory data (PBE) for a geometry-optimized TbPdPtAu structure.

Computed properties:
As for the energy relative to the elements: -761 meV per atom. The energy above the most stable polymorph in this dataset is 125.0 meV per atom.

abc: 6.707 6.707 6.707
angles: 90.00 90.00 90.00
Space group F-43m (No. 216)
One atom of each set of equivalent atoms:
Tb 0.000 0.000 0.000 [4 per cell]
Pd 0.250 0.250 0.250 [4 per cell]
Pt 0.250 0.250 0.750 [4 per cell]
Au 0.000 0.000 0.500 [4 per cell]



Density functional theory data (PBE) for a geometry-optimized TbPdPtAu structure.

Computed properties:
As for the energy relative to the elements: -886 meV per atom. The energy above the most stable polymorph in this dataset is 0.0 meV per atom.

abc: 4.015 4.254 4.282
angles: 90.00 90.00 90.00
Space group Pmmm (No. 47)
One atom of each set of equivalent atoms:
Tb 0.000 0.000 0.000 [1 per cell]
Pd 0.500 0.500 0.000 [1 per cell]
Pt 0.500 0.000 0.500 [1 per cell]
Au 0.000 0.500 0.500 [1 per cell]



Density functional theory data (PBE) for a geometry-optimized TePdPtAu structure.

Computed properties:
For the total energy, the calculation gives -0.1633 hartree per atom.

abc: 6.629 6.629 6.629
angles: 90.00 90.00 90.00
Space group F-43m (No. 216)
One atom of each set of equivalent atoms:
Te 0.000 0.000 0.000 [4 per cell]
Pd 0.250 0.250 0.750 [4 per cell]
Pt 0.250 0.250 0.250 [4 per cell]
Au 0.000 0.000 0.500 [4 per cell]